(1)
This record from Alexandria via LeMat-Bulk describes a relaxed Zr2PtF crystal. The functional is PBEsol.

Output
Total magnetic moment   0.0 Bohr magnetons per cell
Raw formation energy   -110.31 kJ per mole of atoms
Volume   67.3 Å³ per cell
Energy   -7.91 eV per atom

Cell lengths 4.5660, 4.5660, 4.5660 Å; angles 60.00, 60.00, 60.00 degrees
Last column: nearest neighbours and their distance in Å.
Fractional coordinates of all 4 atoms:
Zr1 0.7500 0.7500 0.7500  4 F 2.80, 4 Pt 2.80
Zr2 0.2500 0.2500 0.2500  4 F 2.80, 4 Pt 2.80
F1 0.0000 0.0000 0.0000  8 Zr 2.80
Pt1 0.5000 0.5000 0.5000  8 Zr 2.80

(2)
This record from Alexandria via LeMat-Bulk describes a relaxed BeAsRu crystal. The functional is PBEsol.

Output
DFT formation energy   55 kJ/mol of formula units
Total magnetic moment   0.0 Bohr magnetons per cell
Volume   38.7 Å³ per cell
Energy   -6.24 eV per atom

Cell lengths 2.9864, 3.8672, 3.8672 Å; angles 120.00, 90.00, 90.00 degrees
Last column: nearest neighbours and their distance in Å.
Fractional coordinates of all 3 atoms:
As1 0.9940 0.0000 0.0000  6 Be 2.66-2.71, 6 Ru 2.68-2.69
Ru1 0.4961 0.6667 0.3333  3 Be 2.23
Be1 0.5099 0.3333 0.6667  3 Ru 2.23

(3)
This record from Alexandria via LeMat-Bulk describes a relaxed In2SbW crystal. The functional is PBEsol.

Output
Total magnetic moment   0.0 Bohr magnetons per cell
Raw formation energy   54.29 kJ per mole of atoms
Volume   86.4 Å³ per cell
Energy   -5.52 eV per atom

Cell lengths 2.9441, 2.9441, 9.9705 Å; angles 90.00, 90.00, 90.00 degrees
Last column: nearest neighbours and their distance in Å.
Fractional coordinates of all 4 atoms:
In1 0.0000 0.0000 0.7119  4 In 2.94, 4 W 2.97
In2 0.0000 0.0000 0.2881  4 In 2.94, 4 W 2.97
W1 0.5000 0.5000 0.5000  4 W 2.94, 8 In 2.97
Sb1 0.5000 0.5000 0.0000  4 Sb 2.94

(4)
This record from Alexandria via LeMat-Bulk describes a relaxed YB4Ru4 crystal. The functional is PBEsol.

Output
DFT formation energy   -454 kJ/mol of formula units
Total magnetic moment   0.0 Bohr magnetons per cell
Volume   408.7 Å³ per cell
Energy   -8.92 eV per atom

Cell lengths 7.4057, 7.4057, 9.1080 Å; angles 113.99, 113.99, 90.00 degrees
Last column: nearest neighbours and their distance in Å.
Fractional coordinates of all 36 atoms:
B1 0.4729 0.6638 0.6628  1 B 1.78
B2 0.2771 0.2510 0.8372  1 B 1.78
B3 0.0602 0.7510 0.8372  1 B 1.78
B4 0.7771 0.0862 0.8372  1 B 1.78
B5 0.4138 0.7229 0.1628  1 B 1.78
B6 0.1898 0.9990 0.6628  1 B 1.78
B7 0.7490 0.4398 0.1628  1 B 1.78
B8 0.0010 0.5271 0.3372  1 B 1.78
B9 0.2490 0.2229 0.1628  1 B 1.78
B10 0.6898 0.1638 0.6628  1 B 1.78
B11 0.9729 0.4990 0.6628  1 B 1.78
B12 0.5602 0.5862 0.8372  1 B 1.78
B13 0.5010 0.3102 0.3372  1 B 1.78
B14 0.8362 0.0271 0.3372  1 B 1.78
B15 0.9138 0.9398 0.1628  1 B 1.78
B16 0.3362 0.8102 0.3372  1 B 1.78
Ru1 0.1777 0.9142 0.1235  5 B 2.12-2.26
Ru2 0.0723 0.8358 0.3765  5 B 2.12-2.26
Ru3 0.9458 0.2093 0.1235  5 B 2.12-2.26
Ru4 0.4458 0.4142 0.1235  5 B 2.12-2.26
Ru5 0.5858 0.3223 0.8765  5 B 2.12-2.26
Ru6 0.4593 0.9277 0.6235  5 B 2.12-2.26
Ru7 0.7907 0.8223 0.8765  5 B 2.12-2.26
Ru8 0.2907 0.5542 0.8765  5 B 2.12-2.26
Ru9 0.8042 0.3358 0.3765  5 B 2.12-2.26
Ru10 0.3042 0.5407 0.3765  5 B 2.12-2.26
Ru11 0.5723 0.0407 0.3765  5 B 2.12-2.26
Ru12 0.6642 0.4277 0.6235  5 B 2.12-2.26
Ru13 0.9593 0.1958 0.6235  5 B 2.12-2.26
Ru14 0.0858 0.0542 0.8765  5 B 2.12-2.26
Ru15 0.6777 0.7093 0.1235  5 B 2.12-2.26
Ru16 0.1642 0.6958 0.6235  5 B 2.12-2.26
Y1 0.2500 0.2500 0.5000  12 Ru 2.90-3.18, 12 B 2.94-3.17
Y2 0.5000 0.0000 0.0000  12 Ru 2.90-3.18, 12 B 2.94-3.17
Y3 0.7500 0.7500 0.5000  12 Ru 2.90-3.18, 12 B 2.94-3.17
Y4 0.0000 0.5000 0.0000  12 Ru 2.90-3.18, 12 B 2.94-3.17